Crystalline Dy3Tm4Sn4 at its relaxed geometry, computed with PBE.

It has space group Immm (No. 71), with a = 4.089 Å, b = 9.213 Å, c = 16.951 Å, α = 90.00°, β = 90.00° and γ = 90.00°. The distinct sites, in fractional coordinates, are Dy at (0.000, 0.000, 0.000), Dy at (0.000, 0.500, 0.105), Tm at (0.000, 0.307, 0.330), Sn at (0.000, 0.000, 0.254) and Sn at (0.000, 0.212, 0.500).

The formation energy is -0.4957 eV per atom. For the total magnetization, the calculation gives 3.49 μB/cell.